GGA-PBE YSn2Ir, optimized geometry; magnetic moment = 0.00 μB/cell; final energy = -6.080 eV/atom; energy of formation from the pure elements = -5.7 kcal/mol of atoms; space group = Fm-3m; N(E_F) = 0.57 states/eV per cell
1.0
0.0000 3.5005 3.5005
3.5005 0.0000 3.5005
3.5005 3.5005 0.0000
Y Ir Sn
1 1 2
Cartesian
0.0000 0.0000 0.0000 Y
3.5005 3.5005 3.5005 Ir
1.7503 1.7503 1.7503 Sn
5.2508 5.2508 5.2508 Sn

GGA-PBE Ac3ZnPd, optimized geometry; magnetic moment = 0.00 μB/cell; final energy = -4.126 eV/atom; energy of formation from the pure elements = -8.5 kcal/mol of atoms; space group = P2_1/c; N(E_F) = 23.04 states/eV per cell; distance to the lowest polymorph of the same formula = 0.000 eV/atom
1.0
-0.1868 -7.0663 -3.4366
8.7962 -1.0668 1.7154
-5.2821 -3.6163 7.7230
Ac Zn Pd
12 4 4
Cartesian
1.0882 -4.7325 6.7634 Ac
2.2390 -7.0169 -0.7616 Ac
6.6701 -6.3037 0.7023 Ac
-3.3428 -5.4457 5.2995 Ac
-0.2634 -8.3889 5.0568 Ac
3.5907 -3.3605 0.9450 Ac
-0.7809 -1.8243 0.5750 Ac
4.1082 -9.9251 5.4268 Ac
-1.1200 -2.3023 4.7372 Ac
4.4473 -9.4471 1.2645 Ac
0.1414 -5.4259 2.1031 Ac
3.1859 -6.3235 3.8987 Ac
1.5918 -8.6070 2.3525 Zn
1.7355 -3.1424 3.6493 Zn
6.0967 -5.0723 3.8278 Zn
-2.7694 -6.6771 2.1740 Zn
-1.9089 -3.8531 7.4849 Pd
5.2362 -7.8963 -1.4832 Pd
0.9203 -4.2555 -0.8297 Pd
2.4070 -7.4939 6.8314 Pd

GGA-PBE RbNbTl, optimized geometry; magnetic moment = 0.00 μB/cell; final energy = -4.009 eV/atom; energy of formation from the pure elements = 10.6 kcal/mol of atoms; space group = P1; N(E_F) = 4.68 states/eV per cell; distance to the lowest polymorph of the same formula = 0.208 eV/atom
1.0
-2.8451 -0.8260 1.7462
-1.2794 -5.2651 -1.2071
6.5093 -5.3345 9.3209
Rb Nb Tl
2 2 2
Cartesian
0.5023 -1.4909 1.3559 Rb
2.4122 -8.6265 7.8341 Rb
-0.6134 -5.8520 4.2358 Nb
1.8637 -6.6147 4.5323 Nb
0.9160 -3.3071 4.5491 Tl
1.0186 -5.2208 7.1918 Tl

GGA-PBE ZrNiCl4, optimized geometry; E_form (uncorrected) = 0.68 eV per atom; magnetic moment = 0.90 μB/cell; final energy = -2.944 eV/atom; space group = F-43m; N(E_F) = 13.32 states/eV per cell
1.0
2.7028 -4.8749 -0.3759
-2.6987 -4.7782 1.0473
-1.1634 -3.5242 -4.1759
Zr Ni Cl
1 1 4
Cartesian
0.0000 0.0000 0.0000 Zr
-0.8695 -9.8830 -2.6284 Ni
0.9146 -7.3779 -1.5025 Cl
-1.0158 -6.7034 -3.3998 Cl
-1.7824 -7.3296 -0.7919 Cl
-0.4349 -4.9438 -1.3148 Cl

GGA-PBE Lu2AlCo, optimized geometry; magnetic moment = 0.62 μB/cell; final energy = -5.234 eV/atom; energy of formation from the pure elements = -6.0 kcal/mol of atoms; space group = Fm-3m; N(E_F) = 3.01 states/eV per cell; distance to the lowest polymorph of the same formula = 0.089 eV/atom
1.0
4.8316 0.0000 0.0000
2.4158 4.1842 0.0000
2.4158 1.3947 3.9449
Lu Co Al
2 1 1
Cartesian
2.4158 1.3947 0.9862 Lu
7.2473 4.1842 2.9587 Lu
0.0000 0.0000 0.0000 Co
4.8316 2.7895 1.9725 Al

GGA-PBE NaTb3Sc2Te6, optimized geometry; E_form (uncorrected) = -1.24 eV per atom; magnetic moment = 0.00 μB/cell; final energy = -5.131 eV/atom; space group = C2/m; N(E_F) = 5.52 states/eV per cell
1.0
-3.9200 0.5557 -1.7002
-2.8172 -7.0432 4.1934
0.2941 6.6788 6.9650
Na Tb Sc Te
1 3 2 6
Cartesian
-1.9600 0.2779 -0.8501 Na
-3.3686 -3.2437 1.2466 Tb
-3.5847 3.7592 4.0338 Tb
-2.8584 -3.5679 5.4243 Tb
-4.9119 0.2949 5.9615 Sc
-1.5313 -0.1035 3.4967 Sc
-3.6496 -1.7786 7.8333 Te
-4.1517 -1.4225 3.6474 Te
-2.7935 1.9699 1.6248 Te
-0.7302 -1.6758 1.1359 Te
-5.7129 1.8671 8.3223 Te
-2.2915 1.6139 5.8108 Te

GGA-PBE Li5B8C8, optimized geometry; magnetic moment = 0.00 μB/cell; final energy = -6.652 eV/atom; energy of formation from the pure elements = -3.2 kcal/mol of atoms; space group = P2/m; N(E_F) = 4.81 states/eV per cell; distance to the lowest polymorph of the same formula = 0.007 eV/atom
1.0
4.6873 0.0000 -0.0257
0.0000 5.4442 0.0000
-0.0381 0.0000 7.2259
C B Li
8 8 5
Cartesian
0.7902 1.3610 5.3708 C
3.8590 1.3610 1.8294 C
3.1396 2.7256 5.4238 C
1.5096 2.7256 1.7764 C
0.8052 4.0831 5.3290 C
3.8440 4.0831 1.8712 C
3.1396 5.4407 5.4238 C
1.5096 5.4407 1.7764 C
0.7436 1.3610 1.7638 B
3.9056 1.3610 5.4364 B
3.0900 2.7140 1.8403 B
1.5592 2.7140 5.3599 B
0.7334 4.0831 1.7679 B
3.9158 4.0831 5.4323 B
3.0900 0.0081 1.8403 B
1.5592 0.0081 5.3599 B
-0.0191 0.0409 3.6129 Li
2.3436 1.3610 -0.0128 Li
-0.0191 2.6812 3.6129 Li
2.3436 4.0831 -0.0128 Li
2.3246 4.0831 3.6001 Li

GGA-PBE Nb2GeRu2, optimized geometry; magnetic moment = 0.00 μB/cell; final energy = -8.743 eV/atom; energy of formation from the pure elements = -1.9 kcal/mol of atoms; space group = P4/mbm; N(E_F) = 3.14 states/eV per cell
1.0
-2.2219 -0.8748 -7.0096
6.4803 -3.1771 -1.6577
-1.1654 -2.7489 0.7125
Ru Nb Ge
4 4 2
Cartesian
4.7990 -3.0718 -4.0015 Ru
2.1838 -2.7717 -7.1216 Ru
-0.5406 -0.9801 -4.6657 Ru
2.0746 -1.2802 -1.5457 Ru
3.3544 -3.6262 -1.8911 Nb
3.3624 -4.6121 -5.6821 Nb
-0.2614 -3.1747 -6.0636 Nb
-0.2694 -2.1887 -2.2726 Nb
0.0000 0.0000 0.0000 Ge
2.1292 -2.0259 -4.3336 Ge

GGA-PBE RbHoI2, optimized geometry; E_form (uncorrected) = -0.83 eV per atom; magnetic moment = 0.00 μB/cell; final energy = -2.989 eV/atom; space group = R-3m; N(E_F) = 2.70 states/eV per cell
1.0
-1.9080 3.1358 -2.0508
-3.3644 1.8749 1.6866
5.3027 9.4906 5.2682
I Ho Rb
2 1 1
Cartesian
2.9235 6.8552 3.4520 I
-2.8931 7.6461 1.4521 I
0.0152 7.2507 2.4520 Ho
0.0000 0.0000 0.0000 Rb

GGA-PBE B3PdSe, optimized geometry; E_form (uncorrected) = 1.39 eV per atom; magnetic moment = 0.00 μB/cell; final energy = -4.350 eV/atom; space group = Pm-3m; N(E_F) = 2.91 states/eV per cell; distance to the lowest polymorph of the same formula = 0.000 eV/atom
1.0
4.1641 0.0000 0.0000
0.0000 4.1641 0.0000
0.0000 0.0000 4.1641
B Se Pd
3 1 1
Cartesian
0.0000 2.0820 0.0000 B
0.0000 0.0000 2.0820 B
2.0820 0.0000 0.0000 B
2.0820 2.0820 2.0820 Se
0.0000 0.0000 0.0000 Pd

GGA-PBE CsTiTe3, optimized geometry; E_form (uncorrected) = -0.77 eV per atom; magnetic moment = 0.00 μB/cell; final energy = -4.404 eV/atom; space group = P2_1/c; N(E_F) = 15.53 states/eV per cell; distance to the lowest polymorph of the same formula = 0.000 eV/atom
1.0
-3.9136 4.9288 0.7112
-5.7969 -4.1793 -2.9547
-3.4986 -4.7347 13.5610
Cs Ti Te
4 4 12
Cartesian
-9.3032 -2.1682 6.1381 Cs
-3.9060 -1.8169 5.1794 Cs
-4.6505 2.2881 0.8360 Cs
-8.5587 -6.2733 10.4815 Cs
-4.0805 -4.5929 9.4328 Ti
-6.0367 -2.1276 9.7857 Ti
-7.1725 -1.8576 1.5318 Ti
-9.1287 0.6078 1.8847 Ti
-9.1177 -6.1146 6.3227 Te
-6.2380 -4.0387 7.7901 Te
-6.7312 -3.8138 3.4292 Te
-7.6164 0.1008 -0.3688 Te
-8.7497 -2.3251 10.2964 Te
-11.6293 -4.4009 8.8285 Te
-6.9712 0.0535 3.5274 Te
-5.5928 -4.0859 11.6863 Te
-4.4595 -1.6600 1.0211 Te
-4.0915 2.1294 4.9948 Te
-1.5799 0.4157 2.4890 Te
-6.4780 -0.1713 7.8882 Te

GGA-PBE KAg3Hg, optimized geometry; magnetic moment = 0.00 μB/cell; final energy = -1.759 eV/atom; energy of formation from the pure elements = 5.3 kcal/mol of atoms; space group = Pm-3m; N(E_F) = 1.57 states/eV per cell; distance to the lowest polymorph of the same formula = 0.220 eV/atom
1.0
5.3812 0.0000 0.0000
0.0000 5.3812 0.0000
0.0000 0.0000 5.3812
K Hg Ag
1 1 3
Cartesian
2.6906 2.6906 2.6906 K
0.0000 0.0000 0.0000 Hg
0.0000 2.6906 0.0000 Ag
0.0000 0.0000 2.6906 Ag
2.6906 0.0000 0.0000 Ag

- Among the records above, which one has the highest magnetic moment?
  ZrNiCl4

- What is the final energy in the eighth record?
  -8.743 eV/atom

- Among the records above, which one has the lowest N(E_F)?
  YSn2Ir